# ZrTlGa3

A relaxed ZrTlGa3 crystal (PBE-GGA, the Alexandria database).

Cell: 5.314 5.314 5.314 Å, 90.00 90.00 90.00°
Element x y z (fractional)
Zr  0.000  0.000  0.000
Ga  0.000  0.500  0.000
Ga  0.000  0.000  0.500
Ga  0.500  0.000  0.000
Tl  0.500  0.500  0.500

Values from the calculation:
The excess energy over the best structure of this formula in the dataset is 0 meV/atom. The calculation puts the total energy at -3.6143 eV/atom. For the energy of formation from the pure elements, the calculation gives 0.38 eV per atom.

# ZrTlGa

A relaxed ZrTlGa crystal (PBE-GGA, the Alexandria database).

Cell: 3.344 3.344 14.140 Å, 83.21 83.21 60.00°
Element x y z (fractional)
Tl  0.867  0.867  0.400
Tl  0.133  0.133  0.600
Ga  0.311  0.311  0.066
Ga  0.689  0.689  0.934
Zr  0.594  0.594  0.217
Zr  0.406  0.406  0.783

Values from the calculation:
The calculation puts the total energy at -4.6793 eV/atom. For the energy of formation from the pure elements, the calculation gives -0.03 eV per atom.

# Zr2Tl2Ga

A relaxed Zr2Tl2Ga crystal (PBE-GGA, the Alexandria database).

Cell: 7.286 7.286 4.332 Å, 90.00 90.00 90.00°
Element x y z (fractional)
Zr  0.830  0.330  0.500
Zr  0.330  0.170  0.500
Zr  0.170  0.670  0.500
Zr  0.670  0.830  0.500
Ga  0.500  0.500  0.000
Ga  0.000  0.000  0.000
Tl  0.861  0.639  0.000
Tl  0.639  0.139  0.000
Tl  0.361  0.861  0.000
Tl  0.139  0.361  0.000

Values from the calculation:
The excess energy over the best structure of this formula in the dataset is 182 meV/atom. The calculation puts the total energy at -4.8382 eV/atom. For the energy of formation from the pure elements, the calculation gives 0.13 eV per atom.

What did the third record say?
# Zr2Tl2Ga

A relaxed Zr2Tl2Ga crystal (PBE-GGA, the Alexandria database).

Cell: 7.286 7.286 4.332 Å, 90.00 90.00 90.00°
Element x y z (fractional)
Zr  0.830  0.330  0.500
Zr  0.330  0.170  0.500
Zr  0.170  0.670  0.500
Zr  0.670  0.830  0.500
Ga  0.500  0.500  0.000
Ga  0.000  0.000  0.000
Tl  0.861  0.639  0.000
Tl  0.639  0.139  0.000
Tl  0.361  0.861  0.000
Tl  0.139  0.361  0.000

Values from the calculation:
The excess energy over the best structure of this formula in the dataset is 182 meV/atom. The calculation puts the total energy at -4.8382 eV/atom. For the energy of formation from the pure elements, the calculation gives 0.13 eV per atom.